# CdSi2MoI, optimized geometry, DFT PBE
# Energy in eV/atom: -3.019
# Total moment in μB/f.u.: 2.97
# Uncorrected formation energy in eV/atom: 1.809
data_CdSi2MoI
_chemical_formula_sum 'Cd1 Si2 Mo1 I1'
_symmetry_space_group_name_H-M 'P 4/m m m'
_symmetry_Int_Tables_number 123
_symmetry_space_group_name_Hall '-P 4 2'
_cell_length_a 5.323
_cell_length_b 5.323
_cell_length_c 5.204
_cell_angle_alpha 90.00
_cell_angle_beta 90.00
_cell_angle_gamma 90.00
loop_
_atom_site_label
_atom_site_type_symbol
_atom_site_fract_x
_atom_site_fract_y
_atom_site_fract_z
Cd1 Cd 0.000 0.000 0.000
Si1 Si 0.000 0.500 0.500
Mo1 Mo 0.500 0.500 0.000
I1 I 0.500 0.500 0.500